Crystalline KHIN2 at its relaxed geometry, computed with PBE-GGA.

Geometry as POSCAR:
```
KHIN2
1.0
5.273 0.000 0.000
0.000 5.273 0.000
0.000 0.000 3.931
I K N H
1 1 2 1
direct
0.000 0.000 0.500
0.500 0.500 0.500
0.000 0.500 0.000
0.500 0.000 0.000
0.000 0.000 0.000
```

Computed properties:
- Energy relative to the lowest polymorph listed for this composition: 0 kJ/mol of formula units
- Symmetry: No. 123
- E_tot: -14.51 eV for the cell shown

Crystalline KHI2N at its relaxed geometry, computed with PBE-GGA.

Geometry as POSCAR:
```
KHI2N
1.0
-1.951 -5.513 3.360
3.642 -3.838 -4.182
5.013 0.569 3.844
K I N H
1 2 1 1
direct
0.000 0.000 0.000
0.500 0.000 0.000
0.000 0.500 0.000
0.000 0.000 0.500
0.500 0.500 0.500
```

Computed properties:
- Energy relative to the lowest polymorph listed for this composition: 324 kJ/mol of formula units
- Symmetry: No. 123
- E_tot: -10.10 eV for the cell shown

Crystalline KH4I2N at its relaxed geometry, computed with PBE-GGA.

Geometry as POSCAR:
```
KH4I2N
1.0
10.174 0.000 0.000
5.087 5.106 0.000
5.087 0.000 7.333
H I K N
8 4 2 2
direct
0.290 0.382 0.420
0.460 0.118 0.080
0.329 0.382 0.580
0.290 0.618 0.420
0.421 0.118 0.920
0.092 0.618 0.580
0.460 0.882 0.080
0.658 0.882 0.920
0.749 0.000 0.501
0.001 0.500 0.999
0.251 0.000 0.499
0.499 0.500 0.001
0.000 0.000 0.000
0.750 0.500 0.500
0.500 0.000 0.000
0.250 0.500 0.500
```

Computed properties:
- Symmetry: No. 70
- E_tot: -63.22 eV for the cell shown

Crystalline KHI2N at its relaxed geometry, computed with PBE-GGA.

Geometry as POSCAR:
```
KHI2N
1.0
-2.514 -3.326 5.066
1.950 -5.637 -2.733
2.694 0.215 1.478
N K I H
1 1 2 1
direct
0.000 0.000 0.500
0.500 0.500 0.500
0.500 0.000 0.000
0.000 0.500 0.000
0.000 0.000 0.000
```

Computed properties:
- Energy relative to the lowest polymorph listed for this composition: 0 kJ/mol of formula units
- Symmetry: No. 123
- E_tot: -13.45 eV for the cell shown

Crystalline K2NaHI at its relaxed geometry, computed with PBE-GGA.

Geometry as POSCAR:
```
K2NaHI
1.0
5.847 0.000 0.000
0.000 5.847 0.000
0.000 0.000 4.897
K Na H I
2 1 1 1
direct
0.000 0.500 0.000
0.500 0.000 0.000
0.000 0.000 0.500
0.000 0.000 0.000
0.500 0.500 0.500
```

Computed properties:
- Symmetry: No. 123
- E_tot: -10.81 eV for the cell shown

Crystalline K2NaH10IO10 at its relaxed geometry, computed with PBE-GGA.

Geometry as POSCAR:
```
K2NaH10IO10
1.0
-6.664 1.516 -1.193
1.375 -1.196 -7.137
0.652 -10.192 3.436
O H I Na K
20 20 2 2 4
direct
0.596 0.745 0.633
0.280 0.958 0.597
0.759 0.958 0.877
0.991 0.726 0.633
0.568 0.257 0.869
0.810 0.581 0.373
0.190 0.419 0.627
0.124 0.383 0.167
0.860 0.065 0.134
0.876 0.617 0.833
0.857 0.060 0.672
0.404 0.255 0.367
0.241 0.042 0.123
0.720 0.042 0.403
0.009 0.274 0.367
0.140 0.935 0.866
0.143 0.940 0.328
0.432 0.743 0.131
0.807 0.555 0.055
0.193 0.445 0.945
0.829 0.127 0.392
0.352 0.853 0.135
0.648 0.147 0.865
0.406 0.890 0.617
0.927 0.489 0.102
0.073 0.511 0.898
0.106 0.525 0.632
0.143 0.978 0.960
0.846 0.603 0.982
0.191 0.974 0.427
0.665 0.358 0.932
0.171 0.873 0.608
0.857 0.022 0.040
0.809 0.026 0.573
0.594 0.110 0.383
0.863 0.641 0.469
0.335 0.642 0.068
0.894 0.475 0.368
0.154 0.397 0.018
0.137 0.359 0.531
0.857 0.827 0.751
0.143 0.173 0.249
0.790 0.803 0.231
0.210 0.197 0.769
0.435 0.705 0.851
0.565 0.295 0.149
0.396 0.651 0.368
0.604 0.349 0.632
```

Computed properties:
- Symmetry: No. 2
- E_tot: -229.36 eV for the cell shown

Crystalline K2H2IO6 at its relaxed geometry, computed with PBE-GGA.

Geometry as POSCAR:
```
K2H2IO6
1.0
-4.197 1.117 -2.734
-0.823 -2.321 -4.503
-4.665 -4.779 0.392
K O H I
2 6 2 1
direct
0.789 0.789 0.632
0.211 0.211 0.368
0.235 0.235 0.808
0.765 0.278 0.192
0.278 0.765 0.192
0.722 0.235 0.808
0.235 0.722 0.808
0.765 0.765 0.192
0.614 0.614 0.158
0.386 0.386 0.842
0.000 0.000 0.000
```

Computed properties:
- Symmetry: No. 166
- E_tot: -47.28 eV for the cell shown

Crystalline KHI2O6 at its relaxed geometry, computed with PBE-GGA.

Geometry as POSCAR:
```
KHI2O6
1.0
-4.141 5.398 3.349
-1.047 -5.184 7.061
7.714 1.415 7.257
O H I K
24 4 8 4
direct
0.157 0.733 0.765
0.657 0.009 0.973
0.050 0.185 0.942
0.843 0.267 0.235
0.545 0.642 0.681
0.536 0.086 0.562
0.644 0.386 0.537
0.657 0.767 0.235
0.343 0.991 0.027
0.964 0.586 0.562
0.144 0.114 0.463
0.356 0.614 0.463
0.955 0.142 0.681
0.843 0.509 0.973
0.464 0.914 0.438
0.550 0.315 0.058
0.450 0.685 0.942
0.157 0.491 0.027
0.950 0.815 0.058
0.455 0.358 0.319
0.343 0.233 0.765
0.045 0.858 0.319
0.856 0.886 0.537
0.036 0.414 0.438
0.500 0.000 0.500
0.000 0.500 0.500
0.500 0.000 0.000
0.000 0.500 0.000
0.697 0.427 0.127
0.938 0.203 0.497
0.062 0.797 0.503
0.197 0.073 0.873
0.303 0.573 0.873
0.438 0.297 0.503
0.803 0.927 0.127
0.562 0.703 0.497
0.754 0.835 0.801
0.746 0.335 0.801
0.254 0.665 0.199
0.246 0.165 0.199
```

Computed properties:
- Energy relative to the lowest polymorph listed for this composition: 4 kJ/mol of formula units
- Symmetry: No. 14
- E_tot: -178.42 eV for the cell shown

Crystalline KH2IO4 at its relaxed geometry, computed with PBE-GGA.

Geometry as POSCAR:
```
KH2IO4
1.0
4.907 0.000 0.000
2.453 4.987 0.069
2.453 0.478 4.965
I H K O
1 2 1 4
direct
0.500 0.500 0.500
0.169 0.331 0.331
0.831 0.669 0.669
0.000 0.000 0.000
0.402 0.237 0.399
0.598 0.601 0.763
0.961 0.399 0.237
0.039 0.763 0.601
```

Computed properties:
- Symmetry: No. 23
- E_tot: -34.33 eV for the cell shown

Crystalline KH2I3O at its relaxed geometry, computed with PBE-GGA.

Geometry as POSCAR:
```
KH2I3O
1.0
10.109 0.000 0.000
0.000 4.733 0.043
0.000 0.863 9.063
O I H K
2 6 4 2
direct
0.734 0.114 0.208
0.266 0.614 0.708
0.761 0.804 0.800
0.239 0.304 0.300
0.449 0.531 0.091
0.551 0.031 0.591
0.029 0.089 0.507
0.971 0.589 0.007
0.649 0.162 0.161
0.351 0.662 0.661
0.200 0.662 0.630
0.800 0.162 0.130
0.238 0.093 0.874
0.762 0.593 0.374
```

Computed properties:
- Symmetry: No. 7
- E_tot: -47.03 eV for the cell shown

Crystalline KHI2O6 at its relaxed geometry, computed with PBE-GGA.

Geometry as POSCAR:
```
KHI2O6
1.0
8.326 0.000 0.000
0.000 7.199 0.024
0.000 3.228 22.059
O I H K
48 16 8 8
direct
0.782 0.940 0.188
0.909 0.581 0.132
0.708 0.662 0.969
0.305 0.648 0.266
0.330 0.591 0.127
0.830 0.409 0.373
0.585 0.668 0.773
0.418 0.632 0.889
0.085 0.249 0.177
0.637 0.014 0.455
0.805 0.352 0.234
0.415 0.249 0.677
0.915 0.751 0.823
0.918 0.368 0.611
0.054 0.982 0.665
0.208 0.338 0.531
0.792 0.662 0.469
0.292 0.338 0.031
0.363 0.986 0.545
0.946 0.018 0.335
0.137 0.986 0.045
0.415 0.332 0.227
0.449 0.689 0.454
0.695 0.352 0.734
0.949 0.311 0.046
0.585 0.751 0.323
0.670 0.409 0.873
0.409 0.419 0.368
0.195 0.648 0.766
0.282 0.060 0.312
0.554 0.018 0.835
0.718 0.940 0.688
0.446 0.982 0.165
0.551 0.311 0.546
0.863 0.014 0.955
0.085 0.332 0.727
0.591 0.581 0.632
0.350 0.099 0.928
0.082 0.632 0.389
0.091 0.419 0.868
0.150 0.099 0.428
0.650 0.901 0.072
0.170 0.591 0.627
0.051 0.689 0.954
0.582 0.368 0.111
0.850 0.901 0.572
0.915 0.668 0.273
0.218 0.060 0.812
0.384 0.670 0.347
0.886 0.829 0.653
0.616 0.330 0.653
0.116 0.670 0.847
0.124 0.342 0.638
0.614 0.829 0.153
0.615 0.778 0.497
0.385 0.222 0.503
0.115 0.222 0.003
0.624 0.658 0.862
0.114 0.171 0.347
0.386 0.171 0.847
0.376 0.342 0.138
0.876 0.658 0.362
0.885 0.778 0.997
0.884 0.330 0.153
0.856 0.779 0.250
0.650 0.471 0.746
0.350 0.529 0.254
0.150 0.529 0.754
0.644 0.779 0.750
0.144 0.221 0.750
0.850 0.471 0.246
0.356 0.221 0.250
0.870 0.253 0.496
0.630 0.253 0.996
0.628 0.158 0.328
0.128 0.842 0.172
0.130 0.747 0.504
0.872 0.158 0.828
0.370 0.747 0.004
0.372 0.842 0.672
```

Computed properties:
- Energy relative to the lowest polymorph listed for this composition: 0 kJ/mol of formula units
- Symmetry: No. 14
- E_tot: -357.19 eV for the cell shown

Crystalline KHI2O6 at its relaxed geometry, computed with PBE-GGA.

Geometry as POSCAR:
```
KHI2O6
1.0
7.679 0.000 0.000
0.000 8.765 0.000
0.000 0.000 19.819
K H O I
8 8 48 16
direct
0.479 0.485 0.852
0.988 0.965 0.656
0.479 0.015 0.352
0.988 0.535 0.156
0.012 0.465 0.656
0.012 0.035 0.156
0.521 0.985 0.852
0.521 0.515 0.352
0.726 0.258 0.262
0.241 0.493 0.504
0.274 0.742 0.762
0.241 0.007 0.004
0.726 0.242 0.762
0.759 0.993 0.504
0.759 0.507 0.004
0.274 0.758 0.262
0.408 0.755 0.271
0.408 0.745 0.771
0.879 0.620 0.358
0.718 0.653 0.965
0.121 0.120 0.358
0.078 0.734 0.755
0.922 0.266 0.255
0.218 0.294 0.093
0.592 0.255 0.271
0.355 0.074 0.203
0.245 0.382 0.286
0.755 0.882 0.286
0.640 0.303 0.634
0.645 0.574 0.203
0.360 0.803 0.634
0.606 0.945 0.988
0.245 0.118 0.786
0.201 0.586 0.533
0.279 0.752 0.413
0.721 0.252 0.413
0.201 0.914 0.033
0.394 0.055 0.488
0.218 0.206 0.593
0.103 0.624 0.025
0.078 0.766 0.255
0.782 0.794 0.093
0.755 0.618 0.786
0.360 0.697 0.134
0.279 0.748 0.913
0.282 0.153 0.965
0.879 0.880 0.858
0.799 0.086 0.533
0.103 0.876 0.525
0.640 0.197 0.134
0.897 0.124 0.025
0.897 0.376 0.525
0.721 0.248 0.913
0.282 0.347 0.465
0.355 0.426 0.703
0.645 0.926 0.703
0.718 0.847 0.465
0.394 0.445 0.988
0.799 0.414 0.033
0.782 0.706 0.593
0.922 0.234 0.755
0.606 0.555 0.488
0.592 0.245 0.771
0.121 0.380 0.858
0.947 0.811 0.330
0.694 0.276 0.504
0.306 0.724 0.004
0.806 0.830 0.002
0.194 0.170 0.502
0.460 0.254 0.188
0.540 0.746 0.688
0.806 0.670 0.502
0.460 0.246 0.688
0.053 0.311 0.330
0.540 0.754 0.188
0.194 0.330 0.002
0.694 0.224 0.004
0.306 0.776 0.504
0.947 0.689 0.830
0.053 0.189 0.830
```

Computed properties:
- Energy relative to the lowest polymorph listed for this composition: 1 kJ/mol of formula units
- Symmetry: No. 29
- E_tot: -357.14 eV for the cell shown

Short version: density = 3.0; 1.8; 2.7; 3.9; 2.3; 2.6; 3.7; 3.9; 3.2; 3.4; 3.9; 3.9 g/cm³, in the order given.